Entry 1:
# GGA-PBE Zr6Co2Ru, optimized geometry
# calculated formation energy = -2.6 eV/f.u.
# size of the total moment = 0.00 μB/f.u.
data_Zr6Co2Ru
_space_group_name_H-M_alt 'I m m m'
_space_group_IT_number 71
_space_group_name_Hall '-I 2 2'
_cell_length_a 8.738
_cell_length_b 8.747
_cell_length_c 9.001
_cell_angle_alpha 90.00
_cell_angle_beta 90.00
_cell_angle_gamma 90.00
loop_
_atom_site_label
_atom_site_type_symbol
_atom_site_fract_x
_atom_site_fract_y
_atom_site_fract_z
Zr1 Zr 0.000 0.201 0.173
Zr2 Zr 0.182 0.216 0.500
Zr3 Zr 0.190 0.500 0.258
Co1 Co 0.000 0.000 0.368
Co2 Co 0.152 0.000 0.000
Ru1 Ru 0.000 0.500 0.000
Ru2 Ru 0.000 0.500 0.500

Entry 2:
# GGA-PBE Zr2CoRu, optimized geometry
# calculated formation energy = 0.3 eV/f.u.
# size of the total moment = 0.00 μB/f.u.
data_Zr2CoRu
_space_group_name_H-M_alt 'I -4 2 d'
_space_group_IT_number 122
_space_group_name_Hall 'I -4 2bw'
_cell_length_a 6.980
_cell_length_b 6.980
_cell_length_c 5.858
_cell_angle_alpha 90.00
_cell_angle_beta 90.00
_cell_angle_gamma 90.00
loop_
_atom_site_label
_atom_site_type_symbol
_atom_site_fract_x
_atom_site_fract_y
_atom_site_fract_z
Zr1 Zr 0.239 0.250 0.125
Co1 Co 0.000 0.000 0.000
Ru1 Ru 0.000 0.000 0.500

Entry 3:
# GGA-PBE ZrCo2Ru, optimized geometry
# calculated formation energy = -0.1 eV/f.u.
# size of the total moment = 3.55 μB/f.u.
data_ZrCo2Ru
_space_group_name_H-M_alt 'F m -3 m'
_space_group_IT_number 225
_space_group_name_Hall '-F 4 2 3'
_cell_length_a 6.129
_cell_length_b 6.129
_cell_length_c 6.129
_cell_angle_alpha 90.00
_cell_angle_beta 90.00
_cell_angle_gamma 90.00
loop_
_atom_site_label
_atom_site_type_symbol
_atom_site_fract_x
_atom_site_fract_y
_atom_site_fract_z
Zr1 Zr 0.000 0.000 0.000
Co1 Co 0.250 0.250 0.250
Ru1 Ru 0.000 0.000 0.500

Entry 4:
# GGA-PBE CoS, optimized geometry
# uncorrected formation energy = 0.09 eV/f.u.
# size of the total moment = 0.00 μB/f.u.
data_CoS
_space_group_name_H-M_alt 'P -6 m 2'
_space_group_IT_number 187
_space_group_name_Hall 'P -6 2'
_cell_length_a 3.6416
_cell_length_b 3.6416
_cell_length_c 2.7406
_cell_angle_alpha 90.00
_cell_angle_beta 90.00
_cell_angle_gamma 120.00
loop_
_atom_site_label
_atom_site_type_symbol
_atom_site_fract_x
_atom_site_fract_y
_atom_site_fract_z
Co1 Co 0.0000 0.0000 0.0000
S1 S 0.6667 0.3333 0.0000

Entry 5:
# GGA-PBE CoS, optimized geometry
# uncorrected formation energy = -0.35 eV/f.u.
# size of the total moment = 0.47 μB/f.u.
data_CoS
_space_group_name_H-M_alt 'P m -3 n'
_space_group_IT_number 223
_space_group_name_Hall '-P 4n 2 3'
_cell_length_a 6.101
_cell_length_b 6.101
_cell_length_c 6.101
_cell_angle_alpha 90.00
_cell_angle_beta 90.00
_cell_angle_gamma 90.00
loop_
_atom_site_label
_atom_site_type_symbol
_atom_site_fract_x
_atom_site_fract_y
_atom_site_fract_z
Co1 Co 0.000 0.250 0.500
S1 S 0.000 0.500 0.250

Entry 6:
# GGA-PBE Co3S, optimized geometry
# uncorrected formation energy = 0.88 eV/f.u.
# size of the total moment = 4.00 μB/f.u.
data_Co3S
_space_group_name_H-M_alt 'P m m 2'
_space_group_IT_number 25
_cell_length_a 2.708
_cell_length_b 3.903
_cell_length_c 4.308
_cell_angle_alpha 90.00
_cell_angle_beta 90.00
_cell_angle_gamma 90.00
loop_
_space_group_symop_operation_xyz
'x,y,z'
'-x,-y,z'
'-x,y,z'
'x,-y,z'
loop_
_atom_site_label
_atom_site_type_symbol
_atom_site_fract_x
_atom_site_fract_y
_atom_site_fract_z
Co1 Co 0.000 0.000 0.000
Co2 Co 0.000 0.500 0.354
Co3 Co 0.500 0.500 0.835
S1 S 0.500 0.000 0.431